Entry 1:
DFT (PBE) results for an optimized crystal structure of ZnAs2Pb.

Calculated values
uncorrected energy	-13.42	eV for the cell shown

Unit cell a=3.2238 b=3.2238 c=8.8342 alpha=90.00 beta=90.00 gamma=105.83
Closest atoms and distances in Å follow each position.
Fractional coordinates of all 4 atoms:
As 0.0000 0.0000 0.9493  2 Zn 2.62
As 0.0000 0.0000 0.5507  2 Zn 2.62
Pb 0.5000 0.5000 0.2500  4 Pb 3.22, 4 As 3.29
Zn 0.5000 0.5000 0.7500  4 As 2.62



Entry 2:
DFT (PBE) results for an optimized crystal structure of Ta3Cl.

Calculated values
uncorrected energy	-36.56	eV for the cell shown
E_form (uncorrected)	0.212	eV per atom

Unit cell a=9.5311 b=9.5311 c=9.5311 alpha=17.93 beta=17.93 gamma=17.93
Closest atoms and distances in Å follow each position.
Fractional coordinates of all 4 atoms:
Cl 0.0000 0.0000 0.0000  6 Ta 2.79, 6 Cl 2.97
Ta 0.7448 0.7448 0.7448  3 Cl 2.79, 9 Ta 2.97-3.02
Ta 0.5000 0.5000 0.5000  12 Ta 2.97-3.02
Ta 0.2552 0.2552 0.2552  3 Cl 2.79, 9 Ta 2.97-3.02



Entry 3:
DFT (PBE) results for an optimized crystal structure of InAs2SeCl.

Calculated values
uncorrected energy	-13.34	eV for the cell shown
E_form (uncorrected)	0.805	eV per atom

Unit cell a=5.0672 b=5.0672 c=5.5497 alpha=90.00 beta=90.00 gamma=90.00
Closest atoms and distances in Å follow each position.
Fractional coordinates of all 5 atoms:
As 0.0000 0.5000 0.0000  2 Cl 2.53
As 0.5000 0.0000 0.0000  2 Cl 2.53
Cl 0.0000 0.0000 0.0000  4 As 2.53, 2 Se 2.77
Se 0.0000 0.0000 0.5000  2 Cl 2.77
In 0.5000 0.5000 0.5000  4 Se 3.58, 8 As 3.76



Entry 4:
DFT (PBE) results for an optimized crystal structure of PmSmAlTc.

Calculated values
uncorrected energy	-23.68	eV for the cell shown

Unit cell a=5.0904 b=5.0904 c=5.0904 alpha=60.00 beta=60.00 gamma=60.00
Closest atoms and distances in Å follow each position.
Fractional coordinates of all 4 atoms:
Al 0.2500 0.2500 0.2500  4 Pm 3.12, 4 Sm 3.12
Tc 0.7500 0.7500 0.7500  4 Pm 3.12, 4 Sm 3.12
Sm 0.0000 0.0000 0.0000  4 Al 3.12, 4 Tc 3.12
Pm 0.5000 0.5000 0.5000  4 Tc 3.12, 4 Al 3.12



Entry 5:
DFT (PBE) results for an optimized crystal structure of LiBe2Re2.

Calculated values
uncorrected energy	-31.67	eV for the cell shown

Unit cell a=4.3038 b=4.3038 c=4.8042 alpha=63.39 beta=63.39 gamma=90.00
Closest atoms and distances in Å follow each position.
Fractional coordinates of all 5 atoms:
Re 0.3411 0.3411 0.3177  4 Be 2.26, 1 Re 2.36
Re 0.6589 0.6589 0.6823  4 Be 2.26, 1 Re 2.36
Li 0.0000 0.0000 0.0000  2 Re 2.54
Be 0.7500 0.2500 0.5000  4 Re 2.26
Be 0.2500 0.7500 0.5000  4 Re 2.26



Entry 6:
DFT (PBE) results for an optimized crystal structure of NaMg2Tl2Cd2.

Calculated values
uncorrected energy	-11.49	eV for the cell shown

Unit cell a=4.6004 b=5.3575 c=7.8708 alpha=98.59 beta=90.00 gamma=115.43
Closest atoms and distances in Å follow each position.
Fractional coordinates of all 7 atoms:
Na 0.0000 0.0000 0.0000  6 Tl 3.14-3.32, 2 Cd 3.44, 4 Mg 3.50
Mg 0.5843 0.1686 0.6983  5 Cd 3.07-3.20, 3 Tl 3.16-3.17, 1 Mg 3.27
Mg 0.4157 0.8314 0.3017  5 Cd 3.07-3.20, 3 Tl 3.16-3.17, 1 Mg 3.27
Tl 0.7023 0.4046 0.1589  3 Na 3.14-3.32, 3 Mg 3.16-3.17, 3 Cd 3.29-3.34
Tl 0.2977 0.5954 0.8411  3 Na 3.14-3.32, 3 Mg 3.16-3.17, 3 Cd 3.29-3.34
Cd 0.1345 0.2690 0.4328  3 Cd 2.97-3.26, 5 Mg 3.07-3.20, 2 Tl 3.29
Cd 0.8655 0.7310 0.5672  3 Cd 2.97-3.26, 5 Mg 3.07-3.20, 2 Tl 3.29



Entry 7:
DFT (PBE) results for an optimized crystal structure of Zn2NiAu2.

Calculated values
uncorrected energy	-15.54	eV for the cell shown

Unit cell a=3.2617 b=5.2534 c=4.9645 alpha=79.63 beta=70.82 gamma=71.91
Closest atoms and distances in Å follow each position.
Fractional coordinates of all 5 atoms:
Zn 0.0812 0.1425 0.1951  2 Ni 2.53, 5 Au 2.69-2.73
Zn 0.9188 0.8575 0.8049  2 Ni 2.53, 5 Au 2.69-2.73
Ni 0.5000 0.5000 0.0000  4 Zn 2.53, 4 Au 2.70
Au 0.7019 0.7240 0.3721  5 Zn 2.69-2.73, 2 Ni 2.70, 2 Au 2.94
Au 0.2981 0.2760 0.6279  5 Zn 2.69-2.73, 2 Ni 2.70, 2 Au 2.94



Entry 8:
DFT (PBE) results for an optimized crystal structure of TiNbSe2F.

Calculated values
uncorrected energy	-28.52	eV for the cell shown
E_form (uncorrected)	-0.343	eV per atom

Unit cell a=5.0384 b=3.6092 c=5.0384 alpha=90.00 beta=90.00 gamma=90.00
Closest atoms and distances in Å follow each position.
Fractional coordinates of all 5 atoms:
Nb 0.5000 0.5000 0.5000  8 Se 3.10
F 0.0000 0.0000 0.0000  2 Ti 1.80
Se 0.0000 0.0000 0.5000  2 F 2.52
Se 0.5000 0.0000 0.0000  2 F 2.52
Ti 0.0000 0.5000 0.0000  2 F 1.80



> Which formula does entry 2 have?

Ta3Cl